No. 1
{"formula": "Ir", "functional": "PBE", "state": "relaxed", "lattice_angstrom": [[-1.011, -0.167, 2.360], [-1.081, -2.250, -0.622], [2.104, -1.236, 0.814]], "species": ["Ir"], "frac_coords": [[0.000, 0.000, 0.000]], "e_above_lowest_polymorph_mev_per_atom": 976, "dft_energy_ev_per_cell": -7.88}

***

No. 2
{"formula": "Ir", "functional": "PBE", "state": "relaxed", "lattice_angstrom": [[-5.936, 1.899, -4.416], [1.447, -5.985, -4.520], [-4.584, -4.349, 4.291]], "species": ["Ir", "Ir", "Ir", "Ir", "Ir", "Ir", "Ir", "Ir", "Ir", "Ir", "Ir", "Ir", "Ir", "Ir", "Ir", "Ir"], "frac_coords": [[0.158, 0.158, 0.158], [0.158, 0.842, 0.842], [0.842, 0.158, 0.842], [0.842, 0.842, 0.158], [0.842, 0.842, 0.842], [0.842, 0.158, 0.158], [0.158, 0.842, 0.158], [0.158, 0.158, 0.842], [0.658, 0.658, 0.658], [0.658, 0.342, 0.342], [0.342, 0.658, 0.342], [0.342, 0.342, 0.658], [0.342, 0.342, 0.342], [0.342, 0.658, 0.658], [0.658, 0.342, 0.658], [0.658, 0.658, 0.342]], "e_above_lowest_polymorph_mev_per_atom": 1195, "dft_energy_ev_per_cell": -122.66}

***

No. 3
{"formula": "Ir", "functional": "PBE", "state": "relaxed", "lattice_angstrom": [[-3.332, -2.079, -4.440], [4.889, -1.014, -3.195], [0.230, -3.473, 1.454]], "species": ["Ir", "Ir", "Ir", "Ir", "Ir", "Ir", "Ir", "Ir"], "frac_coords": [[0.606, 0.203, 0.000], [0.394, 0.797, 0.000], [0.797, 0.606, 0.000], [0.203, 0.394, 0.000], [0.106, 0.703, 0.500], [0.894, 0.297, 0.500], [0.297, 0.106, 0.500], [0.703, 0.894, 0.500]], "e_above_lowest_polymorph_mev_per_atom": 372, "dft_energy_ev_per_cell": -67.91}

***

No. 4
{"formula": "Ir", "functional": "PBE", "state": "relaxed", "lattice_angstrom": [[2.740, 0.000, 0.000], [1.370, 2.373, 0.000], [1.370, 0.791, 2.237]], "species": ["Ir"], "frac_coords": [[0.000, 0.000, 0.000]], "e_above_lowest_polymorph_mev_per_atom": 0, "dft_energy_ev_per_cell": -8.86}

***

No. 5
{"formula": "Ir", "functional": "PBE", "state": "relaxed", "lattice_angstrom": [[-0.731, 9.302, -3.335], [-4.292, -2.546, 8.560], [3.127, 0.904, 1.837]], "species": ["Ir", "Ir", "Ir", "Ir", "Ir", "Ir", "Ir", "Ir", "Ir", "Ir", "Ir", "Ir"], "frac_coords": [[0.667, 0.090, 0.250], [0.578, 0.667, 0.750], [0.910, 0.578, 0.250], [0.333, 0.910, 0.750], [0.422, 0.333, 0.250], [0.090, 0.422, 0.750], [0.578, 0.910, 0.750], [0.667, 0.578, 0.250], [0.090, 0.667, 0.750], [0.422, 0.090, 0.250], [0.333, 0.422, 0.750], [0.910, 0.333, 0.250]], "e_above_lowest_polymorph_mev_per_atom": 1147, "dft_energy_ev_per_cell": -92.56}

***

No. 6
{"formula": "Ir", "functional": "PBE", "state": "relaxed", "lattice_angstrom": [[-3.954, 0.255, -0.415], [1.954, -3.161, -1.437], [-0.770, -2.981, 5.509]], "species": ["Ir", "Ir", "Ir", "Ir"], "frac_coords": [[0.333, 0.667, 0.058], [0.667, 0.333, 0.558], [0.667, 0.333, 0.942], [0.333, 0.667, 0.442]], "e_above_lowest_polymorph_mev_per_atom": 1063, "dft_energy_ev_per_cell": -31.19}

***

No. 7
{"formula": "KIr2", "functional": "PBE", "state": "relaxed", "lattice_angstrom": [[3.581, 5.414, 0.426], [-6.407, -1.128, 0.004], [0.073, -0.400, 4.465]], "species": ["K", "K", "Ir", "Ir", "Ir", "Ir"], "frac_coords": [[0.238, 0.238, 0.750], [0.762, 0.762, 0.250], [0.856, 0.393, 0.750], [0.144, 0.607, 0.250], [0.393, 0.856, 0.750], [0.607, 0.144, 0.250]], "dft_energy_ev_per_cell": -35.95}

***

No. 8
{"formula": "KIr2", "functional": "PBE", "state": "relaxed", "lattice_angstrom": [[-1.502, -0.335, -2.344], [0.278, -2.129, 1.804], [-6.556, 2.413, 3.857]], "species": ["Ir", "Ir", "K"], "frac_coords": [[0.667, 0.333, 0.634], [0.333, 0.667, 0.366], [0.000, 0.000, 0.000]], "dft_energy_ev_per_cell": -16.55}

***

Number 3 is which compound? Ir